# 1
# LiHgPb3

Crystalline LiHgPb3 at its relaxed geometry (PBE, Alexandria).

Summary:
Energy of formation from the pure elements in eV per atom: -0.08
DOS(E_F) in states/eV per atom: 0.456
Polymorph energy (0 for the lowest one) in meV/atom: 0.0
Final energy in eV/atom: -2.75

Cell and atoms, written as POSCAR:
```
LiHgPb3
1.0
-1.919 3.442 4.897
-3.277 -7.314 3.857
9.703 0.978 3.116
Li Hg Pb
4 4 12
Direct
0.230 0.633 0.661
0.770 0.367 0.339
0.730 0.367 0.839
0.270 0.633 0.161
0.023 0.696 0.424
0.977 0.304 0.576
0.523 0.304 0.076
0.477 0.696 0.924
0.993 0.997 0.684
0.007 0.003 0.316
0.493 0.003 0.816
0.507 0.997 0.184
0.504 0.805 0.444
0.496 0.195 0.556
0.004 0.195 0.056
0.996 0.805 0.944
0.776 0.617 0.147
0.224 0.383 0.853
0.276 0.383 0.353
0.724 0.617 0.647
```


# 2
# Li5Hg5Pb2

Crystalline Li5Hg5Pb2 at its relaxed geometry (PBE, Alexandria).

Summary:
Energy of formation from the pure elements in eV per atom: -0.25
DOS(E_F) in states/eV per atom: 0.321
Final energy in eV/atom: -1.79

Cell and atoms, written as POSCAR:
```
Li5Hg5Pb2
1.0
0.004 -3.528 3.158
3.946 -2.501 0.774
4.828 6.817 10.916
Li Hg Pb
5 5 2
Direct
0.853 0.853 0.438
0.373 0.373 0.884
0.627 0.627 0.116
0.147 0.147 0.562
0.000 0.000 0.000
0.500 0.500 0.500
0.301 0.301 0.093
0.213 0.213 0.352
0.787 0.787 0.648
0.699 0.699 0.907
0.076 0.076 0.776
0.924 0.924 0.224
```